Below is a relaxed Rb3Ce2USe6 crystal, with properties calculated at the PBE-GGA level.

Values from the calculation:
E_form (uncorrected), eV/atom: -1.511
Total magnetization, μB/atom: 0.417
Theoretical density, g/cm³: 5.24
Space group: C2/m
DOS at the Fermi energy, states/eV/cell: 21.856

a b c (Å): 7.543 7.543 8.407
angles (deg): 98.60 98.60 120.00
Last column: magnetic moment on the atom in μB.
Element x y z (fractional)
Ce 0.334 0.666 0.000  1.02
Ce 0.666 0.334 0.000  1.02
Rb 0.168 0.832 0.500  0.00
Rb 0.500 0.500 0.500  0.00
Rb 0.832 0.168 0.500  0.00
U 0.000 0.000 0.000  2.63
Se 0.934 0.607 0.801  -0.03
Se 0.260 0.260 0.801  -0.03
Se 0.066 0.393 0.199  -0.03
Se 0.607 0.934 0.801  -0.03
Se 0.740 0.740 0.199  -0.03
Se 0.393 0.066 0.199  -0.03



Below is a relaxed Sc3BiB crystal, with properties calculated at the PBE-GGA level.

Values from the calculation:
Total magnetization, μB/atom: 0.000
Formation energy from the elements, eV per atom: -0.096
Relative energy among the computed polymorphs, eV per atom: 0.470
Theoretical density, g/cm³: 5.20
Space group: Pnma
DOS at the Fermi energy, states/eV/cell: 18.470

a b c (Å): 7.029 8.366 7.705
angles (deg): 90.00 90.00 90.00
Element x y z (fractional)
B 0.955 0.750 0.034
B 0.045 0.250 0.966
B 0.545 0.250 0.534
B 0.455 0.750 0.466
Bi 0.500 0.000 0.000
Bi 0.000 0.000 0.500
Bi 0.500 0.500 0.000
Bi 0.000 0.500 0.500
Sc 0.189 0.750 0.242
Sc 0.614 0.939 0.644
Sc 0.386 0.439 0.356
Sc 0.886 0.061 0.144
Sc 0.811 0.250 0.758
Sc 0.114 0.561 0.856
Sc 0.386 0.061 0.356
Sc 0.886 0.439 0.144
Sc 0.689 0.750 0.258
Sc 0.614 0.561 0.644
Sc 0.311 0.250 0.742
Sc 0.114 0.939 0.856



Below is a relaxed K4Pu3SnO8 crystal, with properties calculated at the PBE-GGA level.

Values from the calculation:
E_form (uncorrected), eV/atom: -2.177
Total magnetization, μB/atom: 0.875
Theoretical density, g/cm³: 6.74
Space group: R-3m
DOS at the Fermi energy, states/eV/cell: 11.401

a b c (Å): 7.192 7.498 7.191
angles (deg): 118.66 120.00 90.00
Last column: magnetic moment on the atom in μB.
Element x y z (fractional)
O 0.242 0.687 0.946  -0.08
O 0.758 0.313 0.517  -0.08
O 0.730 0.690 0.460  -0.09
O 0.758 0.313 0.054  -0.08
O 0.270 0.310 0.540  -0.09
O 0.704 0.687 0.946  -0.08
O 0.296 0.313 0.054  -0.08
O 0.242 0.687 0.483  -0.08
Pu 0.500 0.500 0.500  4.76
Pu 0.500 0.500 0.000  4.76
Pu 0.000 0.500 0.500  4.76
K 0.500 0.000 0.500  0.01
K 0.000 0.000 0.500  0.01
K 0.000 0.000 0.000  0.01
K 0.500 0.000 0.000  0.01
Sn 0.000 0.500 0.000  0.01



Below is a relaxed Dy4Tl2Zn crystal, with properties calculated at the PBE-GGA level.

Values from the calculation:
Total magnetization, μB/atom: 0.000
Formation energy from the elements, eV per atom: -0.212
Theoretical density, g/cm³: 9.37
Space group: R-3m
DOS at the Fermi energy, states/eV/cell: 7.339

a b c (Å): 5.209 5.209 9.000
angles (deg): 73.18 73.18 60.00
Element x y z (fractional)
Tl 0.752 0.752 0.745
Tl 0.248 0.248 0.255
Dy 0.625 0.625 0.125
Dy 0.375 0.375 0.875
Dy 0.124 0.124 0.627
Dy 0.876 0.876 0.373
Zn 0.000 0.000 0.000



Below is a relaxed Ba2GaBi crystal, with properties calculated at the PBE-GGA level.

Values from the calculation:
Total magnetization, μB/atom: 0.083
Formation energy from the elements, eV per atom: -0.382
Relative energy among the computed polymorphs, eV per atom: 0.180
Theoretical density, g/cm³: 5.34
Space group: P2_1/c
DOS at the Fermi energy, states/eV/cell: 15.654

a b c (Å): 6.996 9.834 11.138
angles (deg): 116.16 90.00 90.00
Element x y z (fractional)
Ba 0.250 0.923 0.847
Ba 0.250 0.423 0.847
Ba 0.748 0.108 0.716
Ba 0.248 0.392 0.284
Ba 0.752 0.608 0.716
Ba 0.252 0.892 0.284
Ba 0.750 0.077 0.153
Ba 0.750 0.577 0.153
Ga 0.754 0.938 0.375
Ga 0.246 0.062 0.625
Ga 0.254 0.562 0.625
Ga 0.746 0.438 0.375
Bi 0.500 0.750 0.500
Bi 0.500 0.250 0.500
Bi 0.000 0.250 0.500
Bi 0.000 0.750 0.500



Below is a relaxed Ge2PPb crystal, with properties calculated at the PBE-GGA level.

Values from the calculation:
Total magnetization, μB/atom: 0.000
Formation energy from the elements, eV per atom: 0.215
Relative energy among the computed polymorphs, eV per atom: 0.000
Theoretical density, g/cm³: 6.68
Space group: R-3m
DOS at the Fermi energy, states/eV/cell: 1.456

a b c (Å): 3.465 3.465 9.378
angles (deg): 79.35 79.35 60.00
Element x y z (fractional)
P 0.500 0.500 0.500
Pb 0.000 0.000 0.000
Ge 0.889 0.889 0.332
Ge 0.111 0.111 0.668



Below is a relaxed TlCu crystal, with properties calculated at the PBE-GGA level.

Values from the calculation:
Total magnetization, μB/atom: 0.000
Formation energy from the elements, eV per atom: 0.331
Theoretical density, g/cm³: 10.18
Space group: P-3m1
DOS at the Fermi energy, states/eV/cell: 1.639

a b c (Å): 3.500 3.500 8.240
angles (deg): 90.00 90.00 120.00
Element x y z (fractional)
Cu 0.000 0.000 0.041
Cu 0.667 0.333 0.209
Tl 0.000 0.000 0.451
Tl 0.667 0.333 0.799



Below is a relaxed FeTc2BPt crystal, with properties calculated at the PBE-GGA level.

Values from the calculation:
Total magnetization, μB/atom: 1.277
Formation energy from the elements, eV per atom: 2.452
Theoretical density, g/cm³: 7.21
Space group: P4/mmm
DOS at the Fermi energy, states/eV/cell: 5.369

a b c (Å): 4.767 4.639 4.767
angles (deg): 90.00 90.00 90.00
Last column: magnetic moment on the atom in μB.
Element x y z (fractional)
Fe 0.000 0.500 0.000  3.22
Tc 0.000 0.000 0.500  1.62
Tc 0.500 0.000 0.000  1.40
Pt 0.000 0.000 0.000  0.13
B 0.500 0.500 0.500  -0.11



Below is a relaxed AlHg crystal, with properties calculated at the PBE-GGA level.

Values from the calculation:
Total magnetization, μB/atom: 0.000
Formation energy from the elements, eV per atom: 0.498
Theoretical density, g/cm³: 5.19
Space group: Pm-3n
DOS at the Fermi energy, states/eV/cell: 7.547

a b c (Å): 7.590 7.590 7.590
angles (deg): 90.00 90.00 90.00
Element x y z (fractional)
Hg 0.000 0.250 0.500
Hg 0.750 0.500 0.000
Hg 0.250 0.500 0.000
Hg 0.500 0.000 0.750
Hg 0.000 0.750 0.500
Hg 0.500 0.000 0.250
Al 0.250 0.000 0.500
Al 0.000 0.500 0.250
Al 0.000 0.500 0.750
Al 0.500 0.750 0.000
Al 0.500 0.250 0.000
Al 0.750 0.000 0.500



Below is a relaxed RbIn2AgP crystal, with properties calculated at the PBE-GGA level.

Values from the calculation:
Total magnetization, μB/atom: 0.000
Formation energy from the elements, eV per atom: 0.240
Theoretical density, g/cm³: 4.83
Space group: P4/mmm
DOS at the Fermi energy, states/eV/cell: 2.446

a b c (Å): 5.559 5.051 5.559
angles (deg): 90.00 90.00 90.00
Element x y z (fractional)
In 0.000 0.000 0.500
In 0.500 0.000 0.000
P 0.000 0.500 0.000
Rb 0.500 0.500 0.500
Ag 0.000 0.000 0.000



Below is a relaxed DyErIr crystal, with properties calculated at the PBE-GGA level.

Values from the calculation:
Total magnetization, μB/atom: 0.000
Formation energy from the elements, eV per atom: -0.595
Relative energy among the computed polymorphs, eV per atom: 0.134
Theoretical density, g/cm³: 11.49
Space group: I4mm
DOS at the Fermi energy, states/eV/cell: 3.220

a b c (Å): 3.451 3.451 6.789
angles (deg): 104.72 104.72 90.00
Element x y z (fractional)
Dy 0.295 0.295 0.590
Er 0.039 0.039 0.079
Ir 0.666 0.666 0.331



Below is a relaxed Sm2TeO2 crystal, with properties calculated at the PBE-GGA level.

Values from the calculation:
E_form (uncorrected), eV/atom: -2.915
Total magnetization, μB/atom: 0.000
Theoretical density, g/cm³: 7.37
Space group: I4/mmm
DOS at the Fermi energy, states/eV/cell: 0.000

a b c (Å): 7.015 7.015 7.015
angles (deg): 146.68 146.68 47.84
Element x y z (fractional)
Te 0.000 0.000 0.000
O 0.250 0.750 0.500
O 0.750 0.250 0.500
Sm 0.339 0.339 0.000
Sm 0.661 0.661 0.000



Number 1: total DFT energy (no corrections) -0.399 Ry/atom. Number 2: total DFT energy (no corrections) -0.442 Ry/atom. Number 3: total DFT energy (no corrections) -0.578 Ry/atom. Number 4: total DFT energy (no corrections) -0.272 Ry/atom. Number 5: total DFT energy (no corrections) -0.226 Ry/atom. Number 6: total DFT energy (no corrections) -0.321 Ry/atom. Number 7: total DFT energy (no corrections) -0.213 Ry/atom. Number 8: total DFT energy (no corrections) -0.436 Ry/atom. Number 9: total DFT energy (no corrections) -0.112 Ry/atom. Number 10: total DFT energy (no corrections) -0.199 Ry/atom. Number 11: total DFT energy (no corrections) -0.485 Ry/atom. Number 12: total DFT energy (no corrections) -0.545 Ry/atom.